Computed, not measured: a relaxed LaTm2Th3As6 crystal at the PBE level of DFT.

Geometry as POSCAR:
```
LaTm2Th3As6
1.0
7.3115 0.0032 -0.0007
-3.6512 6.3345 -0.0007
-1.2215 -2.1150 6.8427
La Tm Th As
1 2 3 6
direct
0.0000 0.0000 0.0000
0.3326 0.6674 0.0000
0.6674 0.3326 0.0000
0.1639 0.8361 0.5000
0.8361 0.1639 0.5000
0.5000 0.5000 0.5000
0.9180 0.5750 0.7543
0.7372 0.7372 0.2422
0.0820 0.4250 0.2457
0.5750 0.9180 0.7543
0.2628 0.2628 0.7578
0.4250 0.0820 0.2457
```

Output
E_form, eV/atom: -1.452
Size of the total moment, μB/cell: 0.00
N(E_F), states/eV/f.u.: 5.139